No. 1
Below is a relaxed SbPdN3 crystal, with properties calculated at the PBE-GGA level.

The structure in POSCAR format:
```
SbPdN3
1.0
3.961 0.000 0.000
0.000 3.961 0.000
0.000 0.000 3.961
Sb Pd N
1 1 3
direct
0.000 0.000 0.000 Sb
0.500 0.500 0.500 Pd
0.000 0.500 0.500 N
0.500 0.000 0.500 N
0.500 0.500 0.000 N
```

Calculated values
The density of states at the Fermi level is 1.10 states/eV per atom. As for the space group: Pm-3m. The calculation puts the magnetic moment at 0.00 μB per atom. As for the calculated total energy: -5.07 eV/atom.



No. 2
Below is a relaxed CaCoB crystal, with properties calculated at the PBE-GGA level.

The structure in POSCAR format:
```
CaCoB
1.0
3.450 0.000 0.000
-1.725 2.988 0.000
0.000 0.000 4.360
Ca Co B
1 1 1
direct
0.000 0.000 0.000 Ca
0.667 0.333 0.500 Co
0.333 0.667 0.500 B
```

Calculated values
The calculation puts the energy above the most stable polymorph in this dataset at 0.280 eV/atom. The density of states at the Fermi level is 0.51 states/eV per atom. As for the space group: P-6m2. The calculation puts the magnetic moment at 0.00 μB per atom. As for the calculated total energy: -5.32 eV/atom.